A plane-wave DFT calculation with PBE-GGA was carried out for ReC3S after structural relaxation.

```
ReC3S
1.0
-2.075 -2.940 -0.153
1.803 -1.121 -2.909
2.327 -1.753 2.118
C S Re
3 1 1
Cartesian
1.164 -0.876 1.059
-1.037 -1.470 -0.077
0.902 -0.560 -1.455
0.000 0.000 0.000
1.028 -2.907 -0.472
```

Output
As for the raw total energy: -31.11 eV/cell. The theoretical density is 9.04 g/cm3. The value obtained for the polymorph energy (0 for the lowest one) is 446 meV per atom. The calculation puts the magnetization at 0.00 μB/f.u. The density of states at the Fermi level comes out at 0.630 states/eV per atom.

A plane-wave DFT calculation with PBE-GGA was carried out for ReCS after structural relaxation.

```
ReCS
1.0
4.902 0.000 0.001
0.000 3.062 0.000
-2.030 0.000 6.341
C Re S
2 2 2
Cartesian
3.341 1.531 0.167
1.052 1.531 5.192
3.399 0.000 1.491
0.227 1.531 3.524
1.010 0.000 1.843
3.415 0.000 3.887
```

Output
As for the raw total energy: -49.52 eV/cell. The theoretical density is 8.03 g/cm3. The value obtained for the polymorph energy (0 for the lowest one) is 64 meV per atom. The calculation puts the magnetization at 0.00 μB/f.u. The density of states at the Fermi level comes out at 0.210 states/eV per atom.

A plane-wave DFT calculation with PBE-GGA was carried out for ReCS after structural relaxation.

```
ReCS
1.0
3.340 0.000 -0.001
-0.031 4.873 0.002
-0.916 -2.134 5.808
C Re S
2 2 2
Cartesian
0.870 3.354 0.148
0.805 0.876 4.957
0.931 0.123 3.215
2.583 3.404 1.173
2.576 3.366 3.564
2.619 0.956 1.693
```

Output
As for the raw total energy: -49.53 eV/cell. The theoretical density is 8.09 g/cm3. The value obtained for the polymorph energy (0 for the lowest one) is 63 meV per atom. The calculation puts the magnetization at 0.00 μB/f.u. The density of states at the Fermi level comes out at 0.106 states/eV per atom.

A plane-wave DFT calculation with PBE-GGA was carried out for ReCS after structural relaxation.

```
ReCS
1.0
5.282 0.000 0.008
0.000 3.000 0.000
-0.209 0.000 8.478
S C Re
2 2 2
Cartesian
3.906 0.000 1.499
1.167 0.000 6.987
-0.105 0.000 4.239
2.536 1.500 4.243
4.136 1.500 3.307
0.936 1.500 5.179
```

Output
As for the raw total energy: -49.33 eV/cell. The theoretical density is 5.69 g/cm3. The value obtained for the polymorph energy (0 for the lowest one) is 96 meV per atom. The calculation puts the magnetization at 0.00 μB/f.u. The density of states at the Fermi level comes out at 0.237 states/eV per atom.